Entry 1:
Entry from Alexandria: an optimized crystal structure of Li2Nd3GaPd9 (PBE).

Unit cell a=6.7229 b=6.7229 c=7.1705 alpha=90.00 beta=90.00 gamma=120.00
Last column: nearest neighbours and their distance in Å.
Space group P-3m1 (No. 164)
Asymmetric unit:
Li (0.3333, 0.6667, 0.1374)  6 Pd 2.18-2.27
Nd (0.0000, 0.0000, 0.0000)  12 Pd 3.19-3.36
Nd (0.3333, 0.6667, 0.6728)  12 Pd 3.01-3.37, 1 Li 3.33
Ga (0.0000, 0.0000, 0.5000)  6 Pd 2.41
Pd (0.0000, 0.5000, 0.0000)  2 Li 2.18
Pd (0.1803, 0.3606, 0.3342)  1 Li 2.27, 1 Ga 2.41

* volume: 280.7 Å³/cell
* DFT formation energy: -7.4 eV per formula unit
* DOS at the Fermi energy: 5.59 states/eV per cell
* magnetization: 0.00 μB per formula unit

***

Entry 2:
Entry from Alexandria: an optimized crystal structure of LiNd2Ga4Pd3 (PBE).

Unit cell a=4.2243 b=4.2243 c=10.9501 alpha=90.00 beta=90.00 gamma=90.00
Last column: nearest neighbours and their distance in Å.
Space group P-4m2 (No. 115)
Asymmetric unit:
Li (0.0000, 0.0000, 0.0000)  4 Ga 2.57
Nd (0.0000, 0.5000, 0.7411)  6 Pd 3.21-3.54, 8 Ga 3.29-3.38, 2 Li 3.54
Ga (0.0000, 0.0000, 0.5000)  4 Pd 2.57
Ga (0.0000, 0.5000, 0.1340)  3 Pd 2.54-2.57, 2 Li 2.57
Ga (0.5000, 0.5000, 0.5000)  4 Pd 2.57
Pd (0.0000, 0.5000, 0.3658)  5 Ga 2.54-2.57
Pd (0.5000, 0.5000, 0.0000)  4 Ga 2.57

* volume: 195.4 Å³/cell
* DFT formation energy: -7.1 eV per formula unit
* DOS at the Fermi energy: 5.97 states/eV per cell
* magnetization: 0.00 μB per formula unit